1.
Material: MgCd6Rh
Method: DFT, PBE
State: relaxed

Output
DOS(E_F), states/eV per atom: 0.3247
Final energy, Ha/atom: -0.0690
Space-group type: P-1, No. 2
ΔH_f (0 K), meV per atom: -72.1

a = 8.1025 Å, b = 6.7972 Å, c = 5.9660 Å
α = 47.26°, β = 42.42°, γ = 54.65°
With the nearest neighbours (Å) after each atom.
Fractional coordinates of all 8 atoms:
Rh (0.0000, 0.0000, 0.5000)  10 Cd 2.95-3.14, 2 Mg 2.98
Cd (0.2529, 0.5267, 0.3615)  2 Mg 2.95-3.16, 1 Rh 2.95, 9 Cd 2.95-3.26
Mg (0.0000, 0.0000, 0.0000)  10 Cd 2.95-3.19, 2 Rh 2.98
Cd (0.7735, 0.5023, 0.0958)  8 Cd 2.91-3.16, 2 Rh 2.95-2.99, 1 Mg 3.03
Cd (0.5090, 0.0132, 0.7376)  7 Cd 2.91-3.07, 2 Rh 3.05-3.14, 2 Mg 3.08-3.19
Cd (0.4910, 0.9868, 0.2624)  7 Cd 2.91-3.07, 2 Rh 3.05-3.14, 2 Mg 3.08-3.19
Cd (0.2265, 0.4977, 0.9042)  8 Cd 2.91-3.16, 2 Rh 2.95-2.99, 1 Mg 3.03
Cd (0.7471, 0.4733, 0.6385)  2 Mg 2.95-3.16, 1 Rh 2.95, 9 Cd 2.95-3.26

2.
Material: VBi2PdPt
Method: DFT, PBE
State: relaxed

Output
DOS(E_F), states/eV per atom: 0.8557
Final energy, Ha/atom: -0.1776
Space-group type: P4/mmm, No. 123
ΔH_f (0 K), meV per atom: 789.9

a = 5.1674 Å, b = 4.6264 Å, c = 5.1674 Å
α = 90.00°, β = 90.00°, γ = 90.00°
With the nearest neighbours (Å) after each atom.
Fractional coordinates of all 5 atoms:
Bi (0.0000, 0.0000, 0.5000)  2 V 2.58
Pt (0.5000, 0.5000, 0.5000)  8 Bi 3.47, 4 Pd 3.65
Pd (0.0000, 0.5000, 0.0000)  2 V 2.31
V (0.0000, 0.0000, 0.0000)  2 Pd 2.31, 4 Bi 2.58
Bi (0.5000, 0.0000, 0.0000)  2 V 2.58

Question: What is the DOS(E_F) in the second record?
Answer: 0.8557 states/eV per atom